No. 1
This record from Alexandria via LeMat-Bulk describes a relaxed structure of AlSe4Cl. The functional is PBE.

Structure (CIF):
```
data_AlSe4Cl
_space_group_name_H-M_alt 'F -4 3 m'
_space_group_IT_number 216
_space_group_name_Hall 'F -4 2 3'
_cell_length_a 8.1014
_cell_length_b 8.1014
_cell_length_c 8.1014
_cell_angle_alpha 90.00
_cell_angle_beta 90.00
_cell_angle_gamma 90.00
loop_
_atom_site_label
_atom_site_type_symbol
_atom_site_fract_x
_atom_site_fract_y
_atom_site_fract_z
Al1 Al 0.0000 0.0000 0.0000
Se1 Se 0.1285 0.1285 0.3715
Cl1 Cl 0.2500 0.2500 0.7500
```

## Properties
As for the density of states at the Fermi level: 1.096 states/eV per atom. Its total DFT energy (no corrections) is -2.8733 eV per atom. For the raw formation energy, the calculation gives 0.381 eV/atom.

No. 2
This record from Alexandria via LeMat-Bulk describes a relaxed structure of La2Pm3Tm2. The functional is PBE.

Structure (CIF):
```
data_La2Pm3Tm2
_space_group_name_H-M_alt 'I m m m'
_space_group_IT_number 71
_space_group_name_Hall '-I 2 2'
_cell_length_a 3.5153
_cell_length_b 5.6642
_cell_length_c 23.7558
_cell_angle_alpha 90.00
_cell_angle_beta 90.00
_cell_angle_gamma 90.00
loop_
_atom_site_label
_atom_site_type_symbol
_atom_site_fract_x
_atom_site_fract_y
_atom_site_fract_z
La1 La 0.0000 0.0000 0.0702
Pm1 Pm 0.0000 0.0000 0.5000
Pm2 Pm 0.0000 0.5000 0.2895
Tm1 Tm 0.0000 0.5000 0.1450
```

## Properties
For the offset from the most stable computed form, the calculation gives 46 meV per atom. As for the density of states at the Fermi level: 1.543 states/eV per atom. Its total DFT energy (no corrections) is -4.6502 eV per atom. For the formation enthalpy at 0 K, the calculation gives 0.07 eV/atom.

No. 3
This record from Alexandria via LeMat-Bulk describes a relaxed structure of MgZrPd5. The functional is PBE.

Structure (CIF):
```
data_MgZrPd5
_space_group_name_H-M_alt 'P 4/m m m'
_space_group_IT_number 123
_space_group_name_Hall '-P 4 2'
_cell_length_a 4.1148
_cell_length_b 4.1148
_cell_length_c 7.1294
_cell_angle_alpha 90.00
_cell_angle_beta 90.00
_cell_angle_gamma 90.00
loop_
_atom_site_label
_atom_site_type_symbol
_atom_site_fract_x
_atom_site_fract_y
_atom_site_fract_z
Mg1 Mg 0.0000 0.0000 0.0000
Zr1 Zr 0.5000 0.5000 0.5000
Pd1 Pd 0.0000 0.0000 0.5000
Pd2 Pd 0.0000 0.5000 0.2302
```

## Properties
As for the density of states at the Fermi level: 0.529 states/eV per atom. Its total DFT energy (no corrections) is -5.7263 eV per atom. For the formation enthalpy at 0 K, the calculation gives -0.57 eV/atom.

No. 4
This record from Alexandria via LeMat-Bulk describes a relaxed structure of NaBeAs2Br. The functional is PBE.

Structure (CIF):
```
data_NaBeAs2Br
_space_group_name_H-M_alt 'P 4/m m m'
_space_group_IT_number 123
_space_group_name_Hall '-P 4 2'
_cell_length_a 5.1787
_cell_length_b 5.1787
_cell_length_c 5.1807
_cell_angle_alpha 90.00
_cell_angle_beta 90.00
_cell_angle_gamma 90.00
loop_
_atom_site_label
_atom_site_type_symbol
_atom_site_fract_x
_atom_site_fract_y
_atom_site_fract_z
Na1 Na 0.0000 0.0000 0.0000
Be1 Be 0.5000 0.5000 0.5000
As1 As 0.0000 0.5000 0.0000
Br1 Br 0.0000 0.0000 0.5000
```

## Properties
For the offset from the most stable computed form, the calculation gives 1328 meV per atom. As for the density of states at the Fermi level: 0.950 states/eV per atom. Its total DFT energy (no corrections) is -1.9961 eV per atom. For the raw formation energy, the calculation gives 1.207 eV/atom.

No. 5
This record from Alexandria via LeMat-Bulk describes a relaxed structure of BaTiCdBi2. The functional is PBE.

Structure (CIF):
```
data_BaTiCdBi2
_space_group_name_H-M_alt 'P 4/m m m'
_space_group_IT_number 123
_space_group_name_Hall '-P 4 2'
_cell_length_a 5.4980
_cell_length_b 5.4980
_cell_length_c 5.4629
_cell_angle_alpha 90.00
_cell_angle_beta 90.00
_cell_angle_gamma 90.00
loop_
_atom_site_label
_atom_site_type_symbol
_atom_site_fract_x
_atom_site_fract_y
_atom_site_fract_z
Ba1 Ba 0.0000 0.0000 0.0000
Ti1 Ti 0.5000 0.5000 0.5000
Cd1 Cd 0.5000 0.5000 0.0000
Bi1 Bi 0.0000 0.5000 0.5000
```

## Properties
As for the density of states at the Fermi level: 0.720 states/eV per atom. Its total DFT energy (no corrections) is -4.0025 eV per atom. For the formation enthalpy at 0 K, the calculation gives -0.30 eV/atom.

No. 6
This record from Alexandria via LeMat-Bulk describes a relaxed structure of SrSbOs2. The functional is PBE.

Structure (CIF):
```
data_SrSbOs2
_space_group_name_H-M_alt 'C 1 2/m 1'
_space_group_IT_number 12
_cell_length_a 6.1332
_cell_length_b 9.8216
_cell_length_c 2.9287
_cell_angle_alpha 90.00
_cell_angle_beta 117.82
_cell_angle_gamma 90.00
loop_
_space_group_symop_operation_xyz
'x,y,z'
'-x,-y,-z'
'-x,y,-z'
'x,-y,z'
'x+1/2,y+1/2,z'
'-x+1/2,-y+1/2,-z'
'-x+1/2,y+1/2,-z'
'x+1/2,-y+1/2,z'
loop_
_atom_site_label
_atom_site_type_symbol
_atom_site_fract_x
_atom_site_fract_y
_atom_site_fract_z
Sr1 Sr 0.0000 0.0000 0.0000
Sb1 Sb 0.0000 0.5000 0.0000
Os1 Os 0.2500 0.2500 0.5000
```

## Properties
As for the density of states at the Fermi level: 1.098 states/eV per atom. Its total DFT energy (no corrections) is -6.1145 eV per atom. For the raw formation energy, the calculation gives 0.951 eV/atom.

No. 7
This record from Alexandria via LeMat-Bulk describes a relaxed structure of Zn2Pb. The functional is PBE.

Structure (CIF):
```
data_Zn2Pb
_space_group_name_H-M_alt 'C 1 2/m 1'
_space_group_IT_number 12
_cell_length_a 12.1067
_cell_length_b 3.3605
_cell_length_c 6.6480
_cell_angle_alpha 90.00
_cell_angle_beta 107.49
_cell_angle_gamma 90.00
loop_
_space_group_symop_operation_xyz
'x,y,z'
'-x,-y,-z'
'-x,y,-z'
'x,-y,z'
'x+1/2,y+1/2,z'
'-x+1/2,-y+1/2,-z'
'-x+1/2,y+1/2,-z'
'x+1/2,-y+1/2,z'
loop_
_atom_site_label
_atom_site_type_symbol
_atom_site_fract_x
_atom_site_fract_y
_atom_site_fract_z
Zn1 Zn 0.1821 0.0000 0.0623
Zn2 Zn 0.2048 0.0000 0.6227
Pb1 Pb 0.0137 0.5000 0.2624
```

## Properties
As for the density of states at the Fermi level: 0.279 states/eV per atom. Its total DFT energy (no corrections) is -1.9376 eV per atom. For the formation enthalpy at 0 K, the calculation gives 0.15 eV/atom.

No. 8
This record from Alexandria via LeMat-Bulk describes a relaxed structure of Pm14SmTm. The functional is PBE.

Structure (CIF):
```
data_Pm14SmTm
_space_group_name_H-M_alt 'P 4/m m m'
_space_group_IT_number 123
_space_group_name_Hall '-P 4 2'
_cell_length_a 7.2806
_cell_length_b 7.2806
_cell_length_c 10.2751
_cell_angle_alpha 90.00
_cell_angle_beta 90.00
_cell_angle_gamma 90.00
loop_
_atom_site_label
_atom_site_type_symbol
_atom_site_fract_x
_atom_site_fract_y
_atom_site_fract_z
Pm1 Pm 0.0000 0.0000 0.0000
Pm2 Pm 0.0000 0.5000 0.0000
Pm3 Pm 0.0000 0.5000 0.5000
Pm4 Pm 0.2490 0.2490 0.2515
Pm5 Pm 0.5000 0.5000 0.0000
Sm1 Sm 0.5000 0.5000 0.5000
Tm1 Tm 0.0000 0.0000 0.5000
```

## Properties
As for the density of states at the Fermi level: 1.504 states/eV per atom. Its total DFT energy (no corrections) is -4.7167 eV per atom. For the formation enthalpy at 0 K, the calculation gives 0.01 eV/atom.

No. 9
This record from Alexandria via LeMat-Bulk describes a relaxed structure of ScPW. The functional is PBE.

Structure (CIF):
```
data_ScPW
_space_group_name_H-M_alt 'F m m 2'
_space_group_IT_number 42
_space_group_name_Hall 'F 2 -2'
_cell_length_a 3.4494
_cell_length_b 4.8312
_cell_length_c 11.9391
_cell_angle_alpha 90.00
_cell_angle_beta 90.00
_cell_angle_gamma 90.00
loop_
_atom_site_label
_atom_site_type_symbol
_atom_site_fract_x
_atom_site_fract_y
_atom_site_fract_z
Sc1 Sc 0.0000 0.0000 0.0000
P1 P 0.0000 0.0000 0.3387
W1 W 0.0000 0.0000 0.6943
```

## Properties
For the offset from the most stable computed form, the calculation gives 275 meV per atom. As for the density of states at the Fermi level: 0.685 states/eV per atom. Its total DFT energy (no corrections) is -8.4033 eV per atom. For the formation enthalpy at 0 K, the calculation gives -0.17 eV/atom.

No. 10
This record from Alexandria via LeMat-Bulk describes a relaxed structure of Zn2TeRh. The functional is PBE.

Structure (CIF):
```
data_Zn2TeRh
_space_group_name_H-M_alt 'P 1 m 1'
_space_group_IT_number 6
_cell_length_a 3.2243
_cell_length_b 4.3562
_cell_length_c 5.7431
_cell_angle_alpha 90.00
_cell_angle_beta 106.24
_cell_angle_gamma 90.00
loop_
_space_group_symop_operation_xyz
'x,y,z'
'x,-y,z'
loop_
_atom_site_label
_atom_site_type_symbol
_atom_site_fract_x
_atom_site_fract_y
_atom_site_fract_z
Zn1 Zn 0.0000 0.0000 0.0000
Zn2 Zn 0.4514 0.5000 0.9051
Te1 Te 0.2571 0.0000 0.5311
Rh1 Rh 0.1241 0.5000 0.2531
```

## Properties
As for the density of states at the Fermi level: 0.326 states/eV per atom. Its total DFT energy (no corrections) is -3.3118 eV per atom. For the raw formation energy, the calculation gives -0.052 eV/atom.

No. 11
This record from Alexandria via LeMat-Bulk describes a relaxed structure of MgZnAg5. The functional is PBE.

Structure (CIF):
```
data_MgZnAg5
_space_group_name_H-M_alt 'P 4/m m m'
_space_group_IT_number 123
_space_group_name_Hall '-P 4 2'
_cell_length_a 4.2144
_cell_length_b 4.2144
_cell_length_c 7.2992
_cell_angle_alpha 90.00
_cell_angle_beta 90.00
_cell_angle_gamma 90.00
loop_
_atom_site_label
_atom_site_type_symbol
_atom_site_fract_x
_atom_site_fract_y
_atom_site_fract_z
Mg1 Mg 0.0000 0.0000 0.0000
Zn1 Zn 0.5000 0.5000 0.5000
Ag1 Ag 0.0000 0.5000 0.2799
Ag2 Ag 0.5000 0.5000 0.0000
```

## Properties
For the offset from the most stable computed form, the calculation gives 0 meV per atom. As for the density of states at the Fermi level: 0.267 states/eV per atom. Its total DFT energy (no corrections) is -2.4703 eV per atom. For the formation enthalpy at 0 K, the calculation gives -0.02 eV/atom.

No. 12
This record from Alexandria via LeMat-Bulk describes a relaxed structure of NbAg3F8. The functional is PBE.

Structure (CIF):
```
data_NbAg3F8
_space_group_name_H-M_alt 'C 2 2 2'
_space_group_IT_number 21
_cell_length_a 5.8974
_cell_length_b 11.0531
_cell_length_c 7.8446
_cell_angle_alpha 90.00
_cell_angle_beta 90.00
_cell_angle_gamma 90.00
loop_
_space_group_symop_operation_xyz
'x,y,z'
'-x,-y,z'
'x,-y,-z'
'-x,y,-z'
'x+1/2,y+1/2,z'
'-x+1/2,-y+1/2,z'
'x+1/2,-y+1/2,-z'
'-x+1/2,y+1/2,-z'
loop_
_atom_site_label
_atom_site_type_symbol
_atom_site_fract_x
_atom_site_fract_y
_atom_site_fract_z
Nb1 Nb 0.0000 0.0000 0.0000
Ag1 Ag 0.0000 0.0000 0.5000
Ag2 Ag 0.2500 0.2500 0.2873
F1 F 0.0000 0.1774 0.0000
F2 F 0.0000 0.1931 0.5000
F3 F 0.2298 0.0190 0.1747
```

## Properties
As for the density of states at the Fermi level: 0.000 states/eV per atom. Its total DFT energy (no corrections) is -4.7752 eV per atom. For the raw formation energy, the calculation gives -1.976 eV/atom.

Number 1: total magnetic moment 0.0 Bohr magnetons per cell. Number 2: total magnetic moment 0.0 Bohr magnetons per cell. Number 3: total magnetic moment 0.0 Bohr magnetons per cell. Number 4: total magnetic moment 1.4 Bohr magnetons per cell. Number 5: total magnetic moment 0.0 Bohr magnetons per cell. Number 6: total magnetic moment 0.0 Bohr magnetons per cell. Number 7: total magnetic moment 0.0 Bohr magnetons per cell. Number 8: total magnetic moment 0.0 Bohr magnetons per cell. Number 9: total magnetic moment 0.0 Bohr magnetons per cell. Number 10: total magnetic moment 0.0 Bohr magnetons per cell. Number 11: total magnetic moment 0.0 Bohr magnetons per cell. Number 12: total magnetic moment 0.0 Bohr magnetons per cell.